[1]
# ZrVZnS2

Crystalline ZrVZnS2 at its relaxed geometry (PBE, the Alexandria database).

formation energy from raw total energies: 0.966 eV per atom
N(E_F): 7.18 states/eV/f.u.

Unit cell a=4.563 b=4.927 c=4.563 alpha=90.00 beta=90.00 gamma=90.00
Each line ends with the local moment (μB).
Fractional positions:
Zn  0.000  0.000  0.000  0.01
S  0.000  0.000  0.500  0.00
S  0.500  0.000  0.000  -0.01
Zr  0.000  0.500  0.000  0.16
V  0.500  0.500  0.500  -0.20

=====

[2]
# Sr5AcMg6

Crystalline Sr5AcMg6 at its relaxed geometry (PBE, the Alexandria database).

formation enthalpy at 0 K: -0.7 eV per formula unit
N(E_F): 10.67 states/eV/f.u.

Unit cell a=5.946 b=8.240 c=10.238 alpha=66.29 beta=73.21 gamma=90.04
Fractional positions:
Sr  0.666  0.167  0.666
Sr  0.335  0.334  0.332
Sr  0.000  0.500  0.000
Sr  0.665  0.666  0.668
Sr  0.334  0.833  0.334
Ac  0.000  0.000  0.000
Mg  0.836  0.588  0.332
Mg  0.836  0.081  0.331
Mg  0.500  0.755  0.000
Mg  0.500  0.245  0.000
Mg  0.164  0.919  0.669
Mg  0.164  0.412  0.668

=====

[3]
# TmPa2MnN4

Crystalline TmPa2MnN4 at its relaxed geometry (PBE, the Alexandria database).

formation energy from raw total energies: -1.226 eV per atom
N(E_F): 4.55 states/eV/f.u.

Unit cell a=6.816 b=6.816 c=6.738 alpha=119.62 beta=119.62 gamma=89.32
Each line ends with the local moment (μB).
Fractional positions:
Tm  0.000  0.500  0.000  -0.09
Tm  0.000  0.500  0.500  -0.09
Pa  0.500  0.000  0.000  -0.20
Pa  0.500  0.000  0.500  -0.20
Pa  0.000  0.000  0.500  -0.10
Pa  0.500  0.500  0.000  -0.10
Mn  0.500  0.500  0.500  3.84
Mn  0.000  0.000  0.000  3.84
N  0.251  0.747  0.999  0.02
N  0.753  0.249  0.501  0.02
N  0.247  0.751  0.499  0.02
N  0.749  0.253  0.001  0.02
N  0.748  0.752  0.010  0.04
N  0.748  0.752  0.490  0.04
N  0.252  0.248  0.510  0.04
N  0.252  0.248  0.990  0.04

=====

[4]
# Fe2HgCl

Crystalline Fe2HgCl at its relaxed geometry (PBE, the Alexandria database).

formation energy from raw total energies: 0.573 eV per atom
N(E_F): 4.18 states/eV/f.u.

Unit cell a=2.957 b=5.448 c=4.430 alpha=90.00 beta=90.00 gamma=90.00
Each line ends with the local moment (μB).
Fractional positions:
Cl  0.000  0.500  0.500  0.08
Hg  0.500  0.000  0.500  -0.04
Fe  0.000  0.000  0.000  2.80
Fe  0.500  0.500  0.000  3.11

=====

[5]
# NdTmCo

Crystalline NdTmCo at its relaxed geometry (PBE, the Alexandria database).

formation enthalpy at 0 K: -0.2 eV per formula unit
N(E_F): 2.59 states/eV/f.u.

Unit cell a=8.004 b=7.341 c=6.930 alpha=128.80 beta=90.00 gamma=90.00
Fractional positions:
Nd  0.374  0.250  0.746
Nd  0.874  0.750  0.754
Nd  0.626  0.750  0.254
Nd  0.126  0.250  0.246
Co  0.126  0.992  0.741
Co  0.626  0.008  0.759
Co  0.874  0.008  0.259
Co  0.374  0.992  0.241
Tm  0.378  0.765  0.757
Tm  0.878  0.235  0.743
Tm  0.622  0.235  0.243
Tm  0.122  0.765  0.257

=====

[6]
# Er3ZnTe2

Crystalline Er3ZnTe2 at its relaxed geometry (PBE, the Alexandria database).

formation energy from raw total energies: -0.778 eV per atom
N(E_F): 4.51 states/eV/f.u.

Unit cell a=4.322 b=5.998 c=7.747 alpha=112.77 beta=90.00 gamma=90.00
Fractional positions:
Er  0.500  0.870  0.741
Er  0.500  0.130  0.259
Er  0.000  0.500  0.000
Zn  0.000  0.000  0.000
Te  0.500  0.345  0.690
Te  0.500  0.655  0.310

=====

- Look up the N(E_F) of the fifth one.
  2.59 states/eV/f.u.

=====

- The highest N(E_F) belongs to which entry?
  Sr5AcMg6

=====

- What is the N(E_F) in the fifth record?
  2.59 states/eV/f.u.

=====

- N(E_F) of number 1 (ZrVZnS2)?
  7.18 states/eV/f.u.